! Pm2SmMg8 PBE optimized geometry; values from VASP
! - ΔH_f (0 K) (eV per formula unit) = 0.280
! - total magnetization (μB per cell) = 0.00
! - Fermi-level density of states (states/eV/atom) = 0.72
&SYSTEM
  ibrav = 0, nat = 11, ntyp = 3
/
ATOMIC_SPECIES
Mg 24.30 Mg.upf
Sm 150.36 Sm.upf
Pm 145.00 Pm.upf
CELL_PARAMETERS angstrom
-3.3243 -1.3337 3.8452
-5.6054 -0.0096 -4.8493
5.7394 -6.7106 -0.9566
ATOMIC_POSITIONS angstrom
Mg -0.2698 -5.2610 -2.0580
Mg -2.9205 -2.7929 0.0973
Mg -5.2760 -2.7968 -1.9404
Mg -1.5899 -8.0512 -0.5762
Mg 0.4068 -2.3557 -0.4654
Mg -3.5970 -5.6983 -1.4953
Mg 2.0858 -5.2571 -0.0203
Mg -1.6003 -0.0028 -1.3845
Sm -1.6621 -0.6669 1.9226
Pm -2.2980 -2.9283 -3.0023
Pm -0.8923 -5.1257 1.0416